1.
NiPRh2 PBE relaxed; mass density = 9.23 g cm⁻³; crystal system = trigonal; magnetic moment = 0.00 μB per formula unit; space-group type = No. 166; formation energy = -160 meV/atom; relative energy among the computed polymorphs = 3.11 kcal/mol of atoms
1.0
1.411 0.814 7.715
-1.411 0.814 7.715
0.000 -1.629 7.715
Ni P Rh
1 1 2
Direct
0.000 0.000 0.000 Ni
0.500 0.500 0.500 P
0.241 0.241 0.241 Rh
0.759 0.759 0.759 Rh

=====

2.
Ac12Ni5Ir PBE relaxed; mass density = 8.08 g cm⁻³; crystal system = monoclinic; magnetic moment = 0.00 μB per formula unit; space-group type = No. 12; formation energy = -228 meV/atom
1.0
3.725 -6.458 0.000
3.725 6.458 0.000
-2.452 0.000 13.714
Ac Ni Ir
12 5 1
Direct
0.038 0.373 0.116 Ac
0.128 0.128 0.382 Ac
0.204 0.538 0.617 Ac
0.297 0.297 0.884 Ac
0.373 0.038 0.116 Ac
0.462 0.796 0.383 Ac
0.538 0.204 0.617 Ac
0.627 0.962 0.884 Ac
0.703 0.703 0.116 Ac
0.796 0.462 0.383 Ac
0.872 0.872 0.618 Ac
0.962 0.627 0.884 Ac
0.166 0.834 0.500 Ni
0.333 0.667 0.000 Ni
0.500 0.500 0.500 Ni
0.667 0.333 0.000 Ni
0.834 0.166 0.500 Ni
0.000 0.000 0.000 Ir

=====

3.
YC PBE relaxed; mass density = 4.29 g cm⁻³; crystal system = orthorhombic; magnetic moment = 0.00 μB per formula unit; space-group type = No. 19; formation energy = -96 meV/atom; relative energy among the computed polymorphs = 2.73 kcal/mol of atoms
1.0
6.219 0.000 0.000
0.000 6.461 0.000
0.000 0.000 7.778
Y C
8 8
Direct
0.215 0.030 0.463 Y
0.245 0.465 0.790 Y
0.255 0.535 0.290 Y
0.285 0.970 0.963 Y
0.715 0.470 0.537 Y
0.745 0.035 0.210 Y
0.755 0.965 0.710 Y
0.785 0.530 0.037 Y
0.097 0.298 0.047 C
0.104 0.202 0.200 C
0.396 0.798 0.700 C
0.403 0.702 0.547 C
0.597 0.202 0.953 C
0.604 0.298 0.800 C
0.896 0.702 0.300 C
0.903 0.798 0.453 C

=====

> Which value of magnetic moment does entry 1 give?

0.00 μB per formula unit